Ac3Mn5Se12 | PBE | optimized geometry

Computed properties:
The total energy is -5.99 eV/atom. As for the density of states at the Fermi level: 5.6 states/eV/f.u. The value obtained for the total magnetic moment is 20.00 μB/f.u. Its crystal system is cubic. The formation energy (no corrections) comes out at -0.991 eV per atom.

Unit cell a=14.0568 b=14.0568 c=14.0568 alpha=109.47 beta=109.47 gamma=109.47
With the nearest neighbours (Å) after each atom.
Atoms (fractional coordinates):
Se  0.1143  0.6990  0.5227  2 Mn 2.44-2.56
Se  0.0916  0.9152  0.1143  2 Mn 2.44-2.56
Se  0.0227  0.6143  0.6990  2 Mn 2.44-2.56
Se  0.3236  0.5227  0.4084  2 Mn 2.44-2.56
Se  0.0848  0.1764  0.1990  2 Mn 2.44-2.56
Se  0.3857  0.4084  0.0848  2 Mn 2.44-2.56
Se  0.6764  0.1990  0.5848  2 Mn 2.44-2.56
Se  0.9152  0.0916  0.6143  2 Mn 2.44-2.56
Se  0.1764  0.0848  0.6990  2 Mn 2.44-2.56
Se  0.1990  0.5227  0.6143  2 Mn 2.44-2.56
Se  0.8010  0.3236  0.9152  2 Mn 2.44-2.56
Se  0.4773  0.6764  0.0916  2 Mn 2.44-2.56
Se  0.8857  0.5848  0.9084  2 Mn 2.44-2.56
Se  0.4773  0.8010  0.8857  2 Mn 2.44-2.56
Se  0.0848  0.9084  0.3857  2 Mn 2.44-2.56
Se  0.8236  0.9084  0.0227  2 Mn 2.44-2.56
Se  0.5227  0.3236  0.9084  2 Mn 2.44-2.56
Se  0.5916  0.6143  0.4152  2 Mn 2.44-2.56
Se  0.4152  0.1143  0.5916  2 Mn 2.44-2.56
Se  0.1143  0.4152  0.0916  2 Mn 2.44-2.56
Se  0.5848  0.8857  0.4084  2 Mn 2.44-2.56
Se  0.9084  0.8236  0.5227  2 Mn 2.44-2.56
Se  0.3010  0.8857  0.9773  2 Mn 2.44-2.56
Se  0.8010  0.4773  0.3857  2 Mn 2.44-2.56
Se  0.6143  0.5916  0.9152  2 Mn 2.44-2.56
Se  0.9773  0.5916  0.1764  2 Mn 2.44-2.56
Se  0.9773  0.3857  0.3010  2 Mn 2.44-2.56
Se  0.6990  0.5848  0.1764  2 Mn 2.44-2.56
Se  0.5848  0.6990  0.6764  2 Mn 2.44-2.56
Se  0.0227  0.4084  0.8236  2 Mn 2.44-2.56
Se  0.1764  0.0916  0.9773  2 Mn 2.44-2.56
Se  0.6764  0.4773  0.5916  2 Mn 2.44-2.56
Se  0.6990  0.1143  0.0227  2 Mn 2.44-2.56
Se  0.9084  0.0848  0.8857  2 Mn 2.44-2.56
Se  0.4152  0.3010  0.3236  2 Mn 2.44-2.56
Se  0.5916  0.9773  0.6764  2 Mn 2.44-2.56
Se  0.8857  0.3010  0.4773  2 Mn 2.44-2.56
Se  0.4084  0.3857  0.5848  2 Mn 2.44-2.56
Se  0.6143  0.0227  0.1990  2 Mn 2.44-2.56
Se  0.9152  0.8236  0.8010  2 Mn 2.44-2.56
Se  0.1990  0.6764  0.0848  2 Mn 2.44-2.56
Se  0.8236  0.9152  0.3010  2 Mn 2.44-2.56
Se  0.5227  0.1990  0.1143  2 Mn 2.44-2.56
Se  0.3010  0.4152  0.8236  2 Mn 2.44-2.56
Se  0.0916  0.1764  0.4773  2 Mn 2.44-2.56
Se  0.4084  0.0227  0.3236  2 Mn 2.44-2.56
Se  0.3236  0.8010  0.4152  2 Mn 2.44-2.56
Se  0.3857  0.9773  0.8010  2 Mn 2.44-2.56
Ac  0.1250  0.8750  0.7500  8 Se 3.17-3.24
Ac  0.3750  0.7500  0.6250  8 Se 3.17-3.24
Ac  0.1250  0.2500  0.8750  8 Se 3.17-3.24
Ac  0.8750  0.1250  0.2500  8 Se 3.17-3.24
Ac  0.8750  0.7500  0.1250  8 Se 3.17-3.24
Ac  0.2500  0.1250  0.3750  8 Se 3.17-3.24
Ac  0.7500  0.8750  0.6250  8 Se 3.17-3.24
Ac  0.6250  0.2500  0.3750  8 Se 3.17-3.24
Ac  0.2500  0.6250  0.8750  8 Se 3.17-3.24
Ac  0.6250  0.3750  0.7500  8 Se 3.17-3.24
Ac  0.7500  0.3750  0.1250  8 Se 3.17-3.24
Ac  0.3750  0.6250  0.2500  8 Se 3.17-3.24
Mn  0.0000  0.5000  0.0000  6 Se 2.56
Mn  0.5000  0.0000  0.5000  6 Se 2.56
Mn  0.5000  0.0000  0.0000  6 Se 2.56
Mn  0.7500  0.1250  0.8750  4 Se 2.44
Mn  0.5000  0.5000  0.5000  6 Se 2.56
Mn  0.6250  0.7500  0.8750  4 Se 2.44
Mn  0.2500  0.3750  0.6250  4 Se 2.44
Mn  0.3750  0.2500  0.1250  4 Se 2.44
Mn  0.3750  0.1250  0.7500  4 Se 2.44
Mn  0.7500  0.6250  0.3750  4 Se 2.44
Mn  0.1250  0.7500  0.3750  4 Se 2.44
Mn  0.8750  0.6250  0.7500  4 Se 2.44
Mn  0.0000  0.0000  0.0000  6 Se 2.56
Mn  0.5000  0.5000  0.0000  6 Se 2.56
Mn  0.0000  0.5000  0.5000  6 Se 2.56
Mn  0.6250  0.8750  0.2500  4 Se 2.44
Mn  0.0000  0.0000  0.5000  6 Se 2.56
Mn  0.8750  0.2500  0.6250  4 Se 2.44
Mn  0.2500  0.8750  0.1250  4 Se 2.44
Mn  0.1250  0.3750  0.2500  4 Se 2.44